(1)
# SiSb2P (PBE-GGA, relaxed)
data_SiSb2P
_cell_length_a 3.4080
_cell_length_b 3.4628
_cell_length_c 15.0442
_cell_angle_alpha 90.00
_cell_angle_beta 90.00
_cell_angle_gamma 90.00
_space_group_name_H-M_alt 'I m m m'
_space_group_IT_number 71
_space_group_name_Hall '-I 2 2'
loop_
_atom_site_label
_atom_site_type_symbol
_atom_site_fract_x
_atom_site_fract_y
_atom_site_fract_z
Si1 Si 0.0000 0.0000 0.0000
Sb1 Sb 0.0000 0.5000 0.3268
P1 P 0.0000 0.0000 0.5000
# **Total magnetic moment**: 0.0000 μB per atom
# **Offset from the most stable computed form**: 6.38 kcal/mol of atoms
# **ρ**: 5.7 g cm⁻³
# **DFT total energy**: -35.4 eV/cell
# **D(E_F)**: 0.515 states/eV per atom



(2)
# NiIrPb3 (PBE-GGA, relaxed)
data_NiIrPb3
_cell_length_a 5.2738
_cell_length_b 5.2738
_cell_length_c 5.2738
_cell_angle_alpha 90.00
_cell_angle_beta 90.00
_cell_angle_gamma 90.00
_space_group_name_H-M_alt 'P m -3 m'
_space_group_IT_number 221
_space_group_name_Hall '-P 4 2 3'
loop_
_atom_site_label
_atom_site_type_symbol
_atom_site_fract_x
_atom_site_fract_y
_atom_site_fract_z
Ni1 Ni 0.0000 0.0000 0.0000
Ir1 Ir 0.5000 0.5000 0.5000
Pb1 Pb 0.0000 0.5000 0.5000
# **Total magnetic moment**: 0.0000 μB per atom
# **Offset from the most stable computed form**: 0.94 kcal/mol of atoms
# **ρ**: 9.9 g cm⁻³
# **ΔE_f**: 773 meV per atom
# **DFT total energy**: -21.9 eV/cell
# **D(E_F)**: 1.441 states/eV per atom



(3)
# WAu (PBE-GGA, relaxed)
data_WAu
_cell_length_a 2.7195
_cell_length_b 4.7338
_cell_length_c 5.2218
_cell_angle_alpha 90.00
_cell_angle_beta 90.00
_cell_angle_gamma 90.00
_space_group_name_H-M_alt 'P m m n'
_space_group_IT_number 59
loop_
_space_group_symop_operation_xyz
'x,y,z'
'-x,-y,-z'
'-x+1/2,-y+1/2,z'
'x+1/2,y+1/2,-z'
'x+1/2,-y,-z'
'-x+1/2,y,z'
'-x,y+1/2,-z'
'x,-y+1/2,z'
loop_
_atom_site_label
_atom_site_type_symbol
_atom_site_fract_x
_atom_site_fract_y
_atom_site_fract_z
W1 W 0.2500 0.2500 0.0995
Au1 Au 0.2500 0.7500 0.4020
# **Total magnetic moment**: 0.0000 μB per atom
# **Offset from the most stable computed form**: 3.83 kcal/mol of atoms
# **ρ**: 18.8 g cm⁻³
# **ΔE_f**: 416 meV per atom
# **DFT total energy**: -30.8 eV/cell
# **D(E_F)**: 0.626 states/eV per atom



(4)
# CuNi2W (PBE-GGA, relaxed)
data_CuNi2W
_cell_length_a 2.6245
_cell_length_b 3.7653
_cell_length_c 5.0572
_cell_angle_alpha 90.00
_cell_angle_beta 90.00
_cell_angle_gamma 90.00
_space_group_name_H-M_alt 'P m m 2'
_space_group_IT_number 25
loop_
_space_group_symop_operation_xyz
'x,y,z'
'-x,-y,z'
'-x,y,z'
'x,-y,z'
loop_
_atom_site_label
_atom_site_type_symbol
_atom_site_fract_x
_atom_site_fract_y
_atom_site_fract_z
Cu1 Cu 0.0000 0.0000 0.0000
Ni1 Ni 0.0000 0.0000 0.4867
Ni2 Ni 0.5000 0.5000 0.2278
W1 W 0.5000 0.5000 0.7220
# **Total magnetic moment**: 0.0000 μB per atom
# **Offset from the most stable computed form**: 2.61 kcal/mol of atoms
# **ρ**: 12.1 g cm⁻³
# **ΔE_f**: 125 meV per atom
# **DFT total energy**: -28.1 eV/cell
# **D(E_F)**: 0.972 states/eV per atom



Copy entry 2 word for word.
# NiIrPb3 (PBE-GGA, relaxed)
data_NiIrPb3
_cell_length_a 5.2738
_cell_length_b 5.2738
_cell_length_c 5.2738
_cell_angle_alpha 90.00
_cell_angle_beta 90.00
_cell_angle_gamma 90.00
_space_group_name_H-M_alt 'P m -3 m'
_space_group_IT_number 221
_space_group_name_Hall '-P 4 2 3'
loop_
_atom_site_label
_atom_site_type_symbol
_atom_site_fract_x
_atom_site_fract_y
_atom_site_fract_z
Ni1 Ni 0.0000 0.0000 0.0000
Ir1 Ir 0.5000 0.5000 0.5000
Pb1 Pb 0.0000 0.5000 0.5000
# **Total magnetic moment**: 0.0000 μB per atom
# **Offset from the most stable computed form**: 0.94 kcal/mol of atoms
# **ρ**: 9.9 g cm⁻³
# **ΔE_f**: 773 meV per atom
# **DFT total energy**: -21.9 eV/cell
# **D(E_F)**: 1.441 states/eV per atom